# 1
VASP calculation (PBE) on an optimized crystal structure of KRePt2.

```
4
Lattice="-2.045 2.045 4.210 2.045 -2.045 4.210 2.045 2.045 -4.210" Properties=species:S:1:pos:R:3 pbc="T T T"
K 0.000 0.000 0.000
Re 0.000 2.045 2.105
Pt 2.045 0.000 2.105
Pt 0.000 0.000 4.210
```

Output
Its mass density is 14.5 Mg/m³. As for the formation energy: 1.073 eV per atom. The space group is I-4m2, No. 119.

***

# 2
VASP calculation (PBE) on an optimized crystal structure of KRePt2.

```
4
Lattice="-1.368 2.459 5.515 1.368 -2.459 5.515 1.368 2.459 -5.515" Properties=species:S:1:pos:R:3 pbc="T T T"
K 0.000 0.000 0.000
Re 0.000 2.459 2.409
Pt 1.368 0.000 3.106
Pt 0.000 0.000 5.699
```

Output
Its mass density is 13.8 Mg/m³. As for the formation energy: 0.490 eV per atom. The space group is Imm2, No. 44.

***

Number 1: excess energy over the best structure of this formula in the dataset 954 meV per atom. Number 2: excess energy over the best structure of this formula in the dataset 371 meV per atom.